Entry 1:
Pr2Er2Tm2Sc PBE optimized geometry; crystal system = monoclinic
1.0
5.6268 -1.7182 0.0000
5.6268 1.7182 0.0000
-2.3670 0.0000 11.5301
Pr Er Tm Sc
2 2 2 1
direct
0.2012 0.2012 0.3690 Pr
0.7988 0.7988 0.6310 Pr
0.1530 0.1530 0.0715 Er
0.8470 0.8470 0.9285 Er
0.0932 0.0932 0.7725 Tm
0.9068 0.9068 0.2275 Tm
0.5000 0.5000 0.5000 Sc

---

Entry 2:
Pr6Er2TmSc PBE optimized geometry; crystal system = monoclinic
1.0
4.6533 -7.6632 0.0000
4.6533 7.6632 0.0000
-1.1684 0.0000 9.4054
Pr Er Tm Sc
12 4 2 2
direct
0.0097 0.4413 0.8049 Pr
0.1170 0.7688 0.5514 Pr
0.2312 0.8830 0.9486 Pr
0.2929 0.5139 0.3870 Pr
0.4413 0.0097 0.3049 Pr
0.4861 0.7071 0.1130 Pr
0.5139 0.2929 0.8870 Pr
0.5587 0.9903 0.6951 Pr
0.7071 0.4861 0.6130 Pr
0.7688 0.1170 0.0514 Pr
0.8830 0.2312 0.4486 Pr
0.9903 0.5587 0.1951 Pr
0.2035 0.2972 0.0488 Er
0.2972 0.2035 0.5488 Er
0.7028 0.7965 0.4512 Er
0.7965 0.7028 0.9512 Er
0.0275 0.9725 0.2500 Tm
0.9725 0.0275 0.7500 Tm
0.4205 0.5795 0.7500 Sc
0.5795 0.4205 0.2500 Sc

---

Entry 3:
Pr2ErTm5Sc PBE optimized geometry; crystal system = orthorhombic
1.0
2.7574 -9.9271 0.0000
2.7574 9.9271 0.0000
0.0000 0.0000 10.3312
Pr Er Tm Sc
4 2 10 2
direct
0.1130 0.8870 0.5000 Pr
0.1156 0.8844 0.9196 Pr
0.8844 0.1156 0.4196 Pr
0.8870 0.1130 0.0000 Pr
0.4086 0.5914 0.6446 Er
0.5914 0.4086 0.1446 Er
0.0160 0.9840 0.2040 Tm
0.2754 0.7246 0.5050 Tm
0.2990 0.7010 0.8873 Tm
0.3764 0.6236 0.2048 Tm
0.4825 0.5175 0.9255 Tm
0.5175 0.4825 0.4255 Tm
0.6236 0.3764 0.7048 Tm
0.7010 0.2990 0.3873 Tm
0.7246 0.2754 0.0050 Tm
0.9840 0.0160 0.7040 Tm
0.1964 0.8036 0.1994 Sc
0.8036 0.1964 0.6994 Sc

---

| no. | formation energy from the elements (eV per atom) |
| --- | --- |
| 1 | 0.1723 |
| 2 | 0.1276 |
| 3 | 0.1549 |